1.
## Ce3PmSm2S6 (PBE-GGA)

Data for a relaxed structure of Ce3PmSm2S6.

## Properties
The value obtained for the total moment is 2.5 μB per formula unit. The energy relative to the elements, uncorrected comes out at -2.042 eV/atom. Its space-group type is C2/m, No. 12.

Cell lengths 6.9628, 6.9628, 6.9812 Å; angles 99.58, 99.58, 120.04 degrees
Last column: nearest neighbours and their distance in Å.
Positions (direct):
Sm  0.6667  0.3333  0.0000  6 S 2.83-2.84
Ce  0.8338  0.1662  0.5000  6 S 2.85
Sm  0.3333  0.6667  0.0000  6 S 2.83-2.84
S  0.7481  0.7481  0.2480  2 Sm 2.83, 1 Pm 2.84, 3 Ce 2.85
S  0.9172  0.5826  0.7516  2 Sm 2.84, 1 Pm 2.85, 3 Ce 2.85
S  0.0828  0.4174  0.2484  2 Sm 2.84, 1 Pm 2.85, 3 Ce 2.85
S  0.5826  0.9172  0.7516  2 Sm 2.84, 1 Pm 2.85, 3 Ce 2.85
S  0.2519  0.2519  0.7520  2 Sm 2.83, 1 Pm 2.84, 3 Ce 2.85
Ce  0.5000  0.5000  0.5000  6 S 2.85
Ce  0.1662  0.8338  0.5000  6 S 2.85
Pm  0.0000  0.0000  0.0000  6 S 2.84-2.85
S  0.4174  0.0828  0.2484  2 Sm 2.84, 1 Pm 2.85, 3 Ce 2.85



2.
## ReHO3 (PBE-GGA)

Data for a relaxed structure of ReHO3.

## Properties
For the final energy, the calculation gives -0.26310 Ha/atom. The value obtained for the total moment is 0.0 μB per formula unit. Its space-group type is C2/m, No. 12.

Cell lengths 2.5792, 8.2669, 6.3427 Å; angles 120.13, 90.00, 98.97 degrees
Last column: nearest neighbours and their distance in Å.
Positions (direct):
O  0.5494  0.0988  0.2326  2 H 1.33
O  0.1934  0.3868  0.2085  2 Re 1.93
H  0.0625  0.1250  0.2953  2 O 1.33
O  0.8066  0.6132  0.7915  2 Re 1.93
O  0.4506  0.9012  0.7674  2 H 1.33
O  0.0968  0.1936  0.7524  2 Re 1.93
Re  0.6027  0.2055  0.9862  6 O 1.93-2.14
O  0.9032  0.8064  0.2476  2 Re 1.93
Re  0.3973  0.7945  0.0138  6 O 1.93-2.14
H  0.9375  0.8750  0.7047  2 O 1.33



3.
## Cr2MoRh (PBE-GGA)

Data for a relaxed structure of Cr2MoRh.

## Properties
The value obtained for the total moment is 0.0 μB per formula unit. Its space-group type is Pm, No. 6. The calculated formation energy is 8.7 kJ/mol of atoms.

Cell lengths 4.0347, 2.6511, 5.2316 Å; angles 74.61, 90.00, 90.00 degrees
Last column: nearest neighbours and their distance in Å.
Positions (direct):
Cr  0.0000  0.0355  0.0268  2 Cr 2.35, 1 Mo 2.49, 2 Rh 2.61
Cr  0.5000  0.1859  0.2230  2 Cr 2.35, 1 Rh 2.55
Rh  0.5000  0.8136  0.7602  5 Cr 2.55-2.85, 2 Rh 2.65, 4 Mo 2.76-2.78
Mo  0.0000  0.4649  0.4900  4 Cr 2.49-2.74, 2 Mo 2.65, 4 Rh 2.76-2.78